# 1
This record from Alexandria describes crystalline CuTePb2 at its relaxed geometry. The functional is GGA-PBE.

Geometry as POSCAR:
```
CuTePb2
1.0
2.151 1.242 7.049
-2.151 1.242 7.049
0.000 -2.484 7.049
Cu Te Pb
1 1 2
Cartesian
0.000 0.000 0.000
0.000 0.000 10.573
0.000 0.000 5.599
0.000 0.000 15.548
```

Results
raw total energy: -14.4 eV/cell
spin magnetization: 0.00 μB per formula unit
SG: R-3m, No. 166
V: 113 Å³ per cell

# 2
This record from Alexandria describes crystalline CuTe4Pb at its relaxed geometry. The functional is GGA-PBE.

Geometry as POSCAR:
```
CuTe4Pb
1.0
0.000 4.508 4.508
4.508 0.000 4.508
4.508 4.508 0.000
Cu Te Pb
1 4 1
Cartesian
0.000 0.000 0.000
3.379 3.379 3.379
5.637 5.637 3.379
5.637 3.379 5.637
3.379 5.637 5.637
6.762 6.762 6.762
```

Results
raw total energy: -17.2 eV/cell
spin magnetization: 0.00 μB per formula unit
SG: F-43m, No. 216
V: 183 Å³ per cell

# 3
This record from Alexandria describes crystalline CuTePb at its relaxed geometry. The functional is GGA-PBE.

Geometry as POSCAR:
```
CuTePb
1.0
4.183 0.000 0.000
-2.091 3.622 0.000
0.000 0.000 5.152
Cu Te Pb
1 1 1
Cartesian
0.000 0.000 0.000
0.000 2.415 4.142
2.091 1.207 1.596
```

Results
spin magnetization: 0.00 μB per formula unit
SG: P3m1, No. 156
V: 78 Å³ per cell
energy relative to the lowest polymorph listed for this composition: 0.02 eV/f.u.